Entry 1:
# PBE-GGA PuPS4I, optimized geometry
data_PuPS4I
_cell_length_a 11.487
_cell_length_b 8.593
_cell_length_c 7.759
_cell_angle_alpha 90.00
_cell_angle_beta 103.00
_cell_angle_gamma 90.00
_space_group_name_H-M_alt 'C 1 2/m 1'
_space_group_IT_number 12
loop_
_space_group_symop_operation_xyz
'x,y,z'
'-x,-y,-z'
'-x,y,-z'
'x,-y,z'
'x+1/2,y+1/2,z'
'-x+1/2,-y+1/2,-z'
'-x+1/2,y+1/2,-z'
'x+1/2,-y+1/2,z'
loop_
_atom_site_label
_atom_site_type_symbol
_atom_site_fract_x
_atom_site_fract_y
_atom_site_fract_z
_atom_site_occupancy
Pu1 Pu 0.231 0.000 0.134 1
P1 P 0.137 0.500 0.269 1
S1 S 0.031 0.500 0.689 1
S2 S 0.167 0.321 0.099 1
S3 S 0.237 0.000 0.501 1
I1 I 0.027 0.000 0.780 1
# size of the total moment = 15.92 μB per cell
# formation energy (no corrections) = -54.9 kJ per mole of atoms
# calculated total energy = -5.97 eV per atom


Entry 2:
# PBE-GGA MgSiTc2, optimized geometry
data_MgSiTc2
_cell_length_a 5.511
_cell_length_b 8.425
_cell_length_c 2.732
_cell_angle_alpha 90.00
_cell_angle_beta 112.90
_cell_angle_gamma 90.00
_space_group_name_H-M_alt 'C 1 2/m 1'
_space_group_IT_number 12
loop_
_space_group_symop_operation_xyz
'x,y,z'
'-x,-y,-z'
'-x,y,-z'
'x,-y,z'
'x+1/2,y+1/2,z'
'-x+1/2,-y+1/2,-z'
'-x+1/2,y+1/2,-z'
'x+1/2,-y+1/2,z'
loop_
_atom_site_label
_atom_site_type_symbol
_atom_site_fract_x
_atom_site_fract_y
_atom_site_fract_z
_atom_site_occupancy
Mg1 Mg 0.000 0.000 0.000 1
Si1 Si 0.000 0.500 0.000 1
Tc1 Tc 0.250 0.250 0.500 1
# size of the total moment = 0.00 μB per cell
# energy above the lowest structure with this stoichiometry = 214 meV/atom
# formation energy (no corrections) = 9.3 kJ per mole of atoms
# calculated total energy = -6.84 eV per atom


Entry 3:
# PBE-GGA AlRePd3, optimized geometry
data_AlRePd3
_cell_length_a 4.818
_cell_length_b 4.818
_cell_length_c 4.818
_cell_angle_alpha 90.00
_cell_angle_beta 90.00
_cell_angle_gamma 90.00
_space_group_name_H-M_alt 'P m -3 m'
_space_group_IT_number 221
_space_group_name_Hall '-P 4 2 3'
loop_
_atom_site_label
_atom_site_type_symbol
_atom_site_fract_x
_atom_site_fract_y
_atom_site_fract_z
_atom_site_occupancy
Al1 Al 0.000 0.000 0.000 1
Re1 Re 0.500 0.500 0.500 1
Pd1 Pd 0.000 0.500 0.500 1
# size of the total moment = 0.00 μB per cell
# ΔE_f = 115.2 kJ/mol of atoms
# energy above the lowest structure with this stoichiometry = 320 meV/atom
# calculated total energy = -5.16 eV per atom


Entry 4:
# PBE-GGA CaMnOs4, optimized geometry
data_CaMnOs4
_cell_length_a 7.419
_cell_length_b 7.419
_cell_length_c 7.419
_cell_angle_alpha 90.00
_cell_angle_beta 90.00
_cell_angle_gamma 90.00
_space_group_name_H-M_alt 'F -4 3 m'
_space_group_IT_number 216
_space_group_name_Hall 'F -4 2 3'
loop_
_atom_site_label
_atom_site_type_symbol
_atom_site_fract_x
_atom_site_fract_y
_atom_site_fract_z
_atom_site_occupancy
Ca1 Ca 0.000 0.000 0.000 1
Mn1 Mn 0.250 0.250 0.750 1
Os1 Os 0.125 0.125 0.375 1
# size of the total moment = 11.45 μB per cell
# ΔE_f = 37.8 kJ/mol of atoms
# calculated total energy = -8.96 eV per atom